## RbPu2MgI8 (GGA-PBE)

Data for a geometry-optimized RbPu2MgI8 structure.

a b c (Å): 7.322 7.689 9.688
angles (deg): 90.00 89.95 86.49
Space group P-1 (No. 2)
One atom of each set of equivalent atoms:
Rb 0.000 0.000 0.000 x1
Pu 0.500 0.500 0.260 x2
Mg 0.000 0.000 0.500 x1
I 0.240 0.843 0.291 x2
I 0.240 0.843 0.708 x2
I 0.257 0.341 0.500 x2
I 0.275 0.372 0.000 x2

For the density, the calculation gives 4.92 g cm⁻³. The calculation puts the calculated volume at 45.37 Å³ per atom. The uncorrected formation energy is -1.09 eV per atom.

## Rb2PuMgI6 (GGA-PBE)

Data for a geometry-optimized Rb2PuMgI6 structure.

a b c (Å): 8.5181 8.5181 43.8347
angles (deg): 90.00 90.00 120.00
Space group R-3m (No. 166, hexagonal axes)
One atom of each set of equivalent atoms:
Rb 0.0000 0.0000 0.1291 x6
Rb 0.0000 0.0000 0.3037 x6
Pu 0.0000 0.0000 0.4166 x6
Mg 0.0000 0.0000 0.0000 x3
Mg 0.0000 0.0000 0.5000 x3
I 0.0011 0.5005 0.8717 x18
I 0.0094 0.5047 0.7060 x18

For the density, the calculation gives 4.34 g cm⁻³. The calculation puts the calculated volume at 45.91 Å³ per atom. The uncorrected formation energy is -1.17 eV per atom.

## RbPuMgI6 (GGA-PBE)

Data for a geometry-optimized RbPuMgI6 structure.

a b c (Å): 7.8937 7.8937 16.2069
angles (deg): 90.00 90.00 120.00
Space group P-31c (No. 163)
One atom of each set of equivalent atoms:
Rb 0.0000 0.0000 0.0000 x2
Pu 0.3333 0.6667 0.2500 x2
Mg 0.3333 0.6667 0.7500 x2
I 0.0151 0.3780 0.6435 x12

For the density, the calculation gives 4.23 g cm⁻³. The calculation puts the calculated volume at 48.59 Å³ per atom. The uncorrected formation energy is -1.14 eV per atom.

## PuMgTlI6 (GGA-PBE)

Data for a geometry-optimized PuMgTlI6 structure.

a b c (Å): 7.8457 7.8457 15.2327
angles (deg): 90.00 90.00 120.00
Space group P-31c (No. 163)
One atom of each set of equivalent atoms:
Pu 0.3333 0.6667 0.2500 x2
Mg 0.3333 0.6667 0.7500 x2
Tl 0.0000 0.0000 0.0000 x2
I 0.0153 0.3734 0.6372 x12

For the density, the calculation gives 5.05 g cm⁻³. The calculation puts the calculated volume at 45.11 Å³ per atom. The uncorrected formation energy is -0.95 eV per atom.

## Rb2MgI7 (GGA-PBE)

Data for a geometry-optimized Rb2MgI7 structure.

a b c (Å): 8.604 8.604 13.290
angles (deg): 90.00 90.00 90.00
Space group I4/mmm (No. 139)
One atom of each set of equivalent atoms:
Rb 0.000 0.500 0.250 x4
Mg 0.000 0.000 0.000 x2
I 0.000 0.000 0.211 x4
I 0.000 0.000 0.500 x2
I 0.247 0.247 0.000 x8

For the density, the calculation gives 3.66 g cm⁻³. The calculation puts the calculated volume at 49.19 Å³ per atom. The uncorrected formation energy is -0.74 eV per atom.

## Rb2Mg2I5 (GGA-PBE)

Data for a geometry-optimized Rb2Mg2I5 structure.

a b c (Å): 16.396 6.128 8.880
angles (deg): 90.00 112.24 90.00
Space group C2/m (No. 12)
One atom of each set of equivalent atoms:
Rb 0.106 0.000 0.302 x4
Mg 0.152 0.500 0.882 x4
I 0.000 0.500 0.000 x2
I 0.149 0.500 0.562 x4
I 0.153 0.000 0.914 x4

For the density, the calculation gives 3.43 g cm⁻³. The calculation puts the calculated volume at 45.88 Å³ per atom. The uncorrected formation energy is -1.05 eV per atom.

## Rb2MgI5 (GGA-PBE)

Data for a geometry-optimized Rb2MgI5 structure.

a b c (Å): 6.674 18.234 14.440
angles (deg): 90.00 90.00 90.00
Space group Cmcm (No. 63)
One atom of each set of equivalent atoms:
Rb 0.000 0.162 0.092 x8
Mg 0.000 0.171 0.750 x4
I 0.000 0.033 0.634 x8
I 0.000 0.274 0.608 x8
I 0.000 0.325 0.250 x4

For the density, the calculation gives 3.14 g cm⁻³. The calculation puts the calculated volume at 54.92 Å³ per atom. The uncorrected formation energy is -1.00 eV per atom.

## Rb3Mg5I12 (GGA-PBE)

Data for a geometry-optimized Rb3Mg5I12 structure.

a b c (Å): 19.179 19.179 19.179
angles (deg): 90.00 90.00 90.00
Space group Ia-3d (No. 230)
One atom of each set of equivalent atoms:
Rb 0.000 0.250 0.125 x24
Mg 0.000 0.000 0.000 x16
Mg 0.000 0.250 0.375 x24
I 0.035 0.050 0.646 x96

For the density, the calculation gives 3.58 g cm⁻³. The calculation puts the calculated volume at 44.09 Å³ per atom. The uncorrected formation energy is -1.08 eV per atom.